Entry 1:
Entry from Alexandria via LeMat-Bulk: a relaxed structure of Sb3P5S12 (PBE).

a b c (Å): 13.1190 13.1190 13.1190
angles (deg): 109.47 109.47 109.47
With the nearest neighbours (Å) after each atom.
Fractional positions:
Sb1 0.1250 0.2500 0.3750  8 S 2.92-3.06
Sb2 0.1250 0.3750 0.7500  8 S 2.92-3.06
Sb3 0.2500 0.3750 0.1250  8 S 2.92-3.06
Sb4 0.2500 0.8750 0.6250  8 S 2.92-3.06
Sb5 0.3750 0.1250 0.2500  8 S 2.92-3.06
Sb6 0.3750 0.7500 0.1250  8 S 2.92-3.06
Sb7 0.6250 0.2500 0.8750  8 S 2.92-3.06
Sb8 0.6250 0.8750 0.7500  8 S 2.92-3.06
Sb9 0.7500 0.1250 0.3750  8 S 2.92-3.06
Sb10 0.7500 0.6250 0.8750  8 S 2.92-3.06
Sb11 0.8750 0.6250 0.2500  8 S 2.92-3.06
Sb12 0.8750 0.7500 0.6250  8 S 2.92-3.06
P1 0.0000 0.0000 0.0000  6 S 2.50
P2 0.0000 0.0000 0.5000  6 S 2.50
P3 0.0000 0.5000 0.0000  6 S 2.50
P4 0.0000 0.5000 0.5000  6 S 2.50
P5 0.1250 0.7500 0.8750  4 S 2.18
P6 0.1250 0.8750 0.2500  4 S 2.18
P7 0.2500 0.1250 0.8750  4 S 2.18
P8 0.2500 0.6250 0.3750  4 S 2.18
P9 0.3750 0.2500 0.6250  4 S 2.18
P10 0.3750 0.6250 0.7500  4 S 2.18
P11 0.5000 0.0000 0.0000  6 S 2.50
P12 0.5000 0.0000 0.5000  6 S 2.50
P13 0.5000 0.5000 0.0000  6 S 2.50
P14 0.5000 0.5000 0.5000  6 S 2.50
P15 0.6250 0.3750 0.2500  4 S 2.18
P16 0.6250 0.7500 0.3750  4 S 2.18
P17 0.7500 0.3750 0.6250  4 S 2.18
P18 0.7500 0.8750 0.1250  4 S 2.18
P19 0.8750 0.1250 0.7500  4 S 2.18
P20 0.8750 0.2500 0.1250  4 S 2.18
S1 0.0201 0.2058 0.1200  1 P 2.18
S2 0.0201 0.3143 0.9001  1 P 2.18
S3 0.0858 0.7058 0.6857  1 P 2.18
S4 0.0858 0.8800 0.4001  1 P 2.18
S5 0.0999 0.6200 0.4142  1 P 2.18
S6 0.0999 0.9799 0.6857  1 P 2.18
S7 0.1200 0.0201 0.2058  1 P 2.18
S8 0.1200 0.5999 0.9142  1 P 2.18
S9 0.1857 0.2058 0.5858  1 P 2.18
S10 0.1857 0.4799 0.5999  1 P 2.18
S11 0.2058 0.1200 0.0201  1 P 2.18
S12 0.2058 0.5858 0.1857  1 P 2.18
S13 0.2942 0.3143 0.9142  1 P 2.18
S14 0.2942 0.4799 0.3800  1 P 2.18
S15 0.3143 0.9001 0.0201  1 P 2.18
S16 0.3143 0.9142 0.2942  1 P 2.18
S17 0.3800 0.2942 0.4799  1 P 2.18
S18 0.3800 0.5858 0.9001  1 P 2.18
S19 0.4001 0.0858 0.8800  1 P 2.18
S20 0.4001 0.8143 0.5201  1 P 2.18
S21 0.4142 0.0999 0.6200  1 P 2.18
S22 0.4142 0.8143 0.7942  1 P 2.18
S23 0.4799 0.3800 0.2942  1 P 2.18
S24 0.4799 0.5999 0.1857  1 P 2.18
S25 0.5201 0.4001 0.8143  1 P 2.18
S26 0.5201 0.6200 0.7058  1 P 2.18
S27 0.5858 0.1857 0.2058  1 P 2.18
S28 0.5858 0.9001 0.3800  1 P 2.18
S29 0.5999 0.1857 0.4799  1 P 2.18
S30 0.5999 0.9142 0.1200  1 P 2.18
S31 0.6200 0.4142 0.0999  1 P 2.18
S32 0.6200 0.7058 0.5201  1 P 2.18
S33 0.6857 0.0858 0.7058  1 P 2.18
S34 0.6857 0.0999 0.9799  1 P 2.18
S35 0.7058 0.5201 0.6200  1 P 2.18
S36 0.7058 0.6857 0.0858  1 P 2.18
S37 0.7942 0.4142 0.8143  1 P 2.18
S38 0.7942 0.8800 0.9799  1 P 2.18
S39 0.8143 0.5201 0.4001  1 P 2.18
S40 0.8143 0.7942 0.4142  1 P 2.18
S41 0.8800 0.4001 0.0858  1 P 2.18
S42 0.8800 0.9799 0.7942  1 P 2.18
S43 0.9001 0.0201 0.3143  1 P 2.18
S44 0.9001 0.3800 0.5858  1 P 2.18
S45 0.9142 0.1200 0.5999  1 P 2.18
S46 0.9142 0.2942 0.3143  1 P 2.18
S47 0.9799 0.6857 0.0999  1 P 2.18
S48 0.9799 0.7942 0.8800  1 P 2.18

Values from the calculation:
ΔE_f (raw) (eV per atom): 0.159
Total DFT energy (no corrections) (eV/atom): -4.288
Size of the total moment (μB/f.u.): 0.000
Space group: Ia-3d, No. 230


Entry 2:
Entry from Alexandria via LeMat-Bulk: a relaxed structure of Sb2P2S7 (PBE).

a b c (Å): 6.8230 6.8230 7.1532
angles (deg): 92.19 92.19 95.57
With the nearest neighbours (Å) after each atom.
Fractional positions:
Sb1 0.1693 0.8307 0.0000  2 S 2.47
Sb2 0.8307 0.1693 0.0000  2 S 2.47
P1 0.2858 0.2858 0.6322  3 S 2.01-2.23
P2 0.7142 0.7142 0.3678  3 S 2.01-2.23
S1 0.0487 0.3917 0.7412  1 P 2.01
S2 0.1353 0.1353 0.1879  2 Sb 2.47
S3 0.3917 0.0487 0.7412  1 P 2.01
S4 0.5000 0.5000 0.5000  2 P 2.23
S5 0.6083 0.9513 0.2588  1 P 2.01
S6 0.8647 0.8647 0.8121  2 Sb 2.47
S7 0.9513 0.6083 0.2588  1 P 2.01

Values from the calculation:
ΔE_f (raw) (eV per atom): -0.036
Total DFT energy (no corrections) (eV/atom): -4.396
Size of the total moment (μB/f.u.): 0.000
Space group: C2/m, No. 12


Entry 3:
Entry from Alexandria via LeMat-Bulk: a relaxed structure of Sb2PS (PBE).

a b c (Å): 6.3209 6.3209 6.3209
angles (deg): 109.32 109.32 109.77
With the nearest neighbours (Å) after each atom.
Fractional positions:
Sb1 0.1142 0.6250 0.9892  2 P 2.69, 2 S 2.79
Sb2 0.3750 0.3642 0.4892  2 P 2.69, 2 S 2.79
Sb3 0.6358 0.1250 0.0108  2 P 2.69, 2 S 2.79
Sb4 0.8750 0.8858 0.5108  2 P 2.69, 2 S 2.79
P1 0.0000 0.0000 0.0000  4 Sb 2.69
P2 0.7500 0.2500 0.5000  4 Sb 2.69
S1 0.2500 0.7500 0.5000  4 Sb 2.79
S2 0.5000 0.5000 0.0000  4 Sb 2.79

Values from the calculation:
ΔE_f (raw) (eV per atom): 0.228
Total DFT energy (no corrections) (eV/atom): -4.217
Size of the total moment (μB/f.u.): 0.000
Space group: I-42d, No. 122


Entry 4:
Entry from Alexandria via LeMat-Bulk: a relaxed structure of SbP2S6 (PBE).

a b c (Å): 8.2915 8.2915 6.9619
angles (deg): 105.34 105.34 84.28
With the nearest neighbours (Å) after each atom.
Fractional positions:
Sb1 0.1307 0.8693 0.7500  6 S 2.70-2.93
Sb2 0.8693 0.1307 0.2500  6 S 2.70-2.93
P1 0.2233 0.3691 0.7688  3 S 2.03-2.08
P2 0.3691 0.2233 0.2688  3 S 2.03-2.08
P3 0.6309 0.7767 0.7312  3 S 2.03-2.08
P4 0.7767 0.6309 0.2312  3 S 2.03-2.08
S1 0.0323 0.2000 0.6729  1 P 2.08
S2 0.1340 0.5993 0.8983  1 P 2.04
S3 0.2000 0.0323 0.1729  1 P 2.08
S4 0.2918 0.4164 0.4767  1 P 2.03
S5 0.4007 0.8660 0.6017  1 P 2.04
S6 0.4164 0.2918 0.9767  1 P 2.03
S7 0.5836 0.7082 0.0233  1 P 2.03
S8 0.5993 0.1340 0.3983  1 P 2.04
S9 0.7082 0.5836 0.5233  1 P 2.03
S10 0.8000 0.9677 0.8271  1 P 2.08
S11 0.8660 0.4007 0.1017  1 P 2.04
S12 0.9677 0.8000 0.3271  1 P 2.08

Values from the calculation:
ΔE_f (raw) (eV per atom): -0.030
Total DFT energy (no corrections) (eV/atom): -4.442
Size of the total moment (μB/f.u.): 0.000
Space group: C2/c, No. 15


Entry 5:
Entry from Alexandria via LeMat-Bulk: a relaxed structure of SbP2S (PBE).

a b c (Å): 6.2034 6.2034 6.2034
angles (deg): 115.15 115.15 98.64
With the nearest neighbours (Å) after each atom.
Fractional positions:
Sb1 0.0000 0.0000 0.0000  4 P 2.68
Sb2 0.7500 0.2500 0.5000  4 P 2.68
P1 0.1515 0.1250 0.5265  2 S 2.45, 2 Sb 2.68
P2 0.3750 0.8485 0.9735  2 S 2.45, 2 Sb 2.68
P3 0.5985 0.6250 0.4735  2 S 2.45, 2 Sb 2.68
P4 0.8750 0.4015 0.0265  2 S 2.45, 2 Sb 2.68
S1 0.2500 0.7500 0.5000  4 P 2.45
S2 0.5000 0.5000 0.0000  4 P 2.45

Values from the calculation:
ΔE_f (raw) (eV per atom): 0.512
Total DFT energy (no corrections) (eV/atom): -4.255
Size of the total moment (μB/f.u.): 0.000
Space group: I-42d, No. 122


Entry 6:
Entry from Alexandria via LeMat-Bulk: a relaxed structure of Sb2P2S (PBE).

a b c (Å): 7.8943 7.8943 3.8768
angles (deg): 90.00 90.00 90.00
With the nearest neighbours (Å) after each atom.
Fractional positions:
Sb1 0.2470 0.2530 0.0000  2 P 2.58, 2 S 2.79
Sb2 0.2530 0.7530 0.0000  2 P 2.58, 2 S 2.79
Sb3 0.7470 0.2470 0.0000  2 P 2.58, 2 S 2.79
Sb4 0.7530 0.7470 0.0000  2 P 2.58, 2 S 2.79
P1 0.1002 0.6002 0.5000  1 P 2.24
P2 0.3998 0.1002 0.5000  1 P 2.24
P3 0.6002 0.8998 0.5000  1 P 2.24
P4 0.8998 0.3998 0.5000  1 P 2.24
S1 0.0000 0.0000 0.0000  4 Sb 2.79
S2 0.5000 0.5000 0.0000  4 Sb 2.79

Values from the calculation:
ΔE_f (raw) (eV per atom): 0.324
Total DFT energy (no corrections) (eV/atom): -4.314
Size of the total moment (μB/f.u.): 0.194
Space group: P4/mbm, No. 127


Entry 7:
Entry from Alexandria via LeMat-Bulk: a relaxed structure of SbP3S (PBE).

a b c (Å): 5.0175 5.0175 5.0175
angles (deg): 90.00 90.00 90.00
With the nearest neighbours (Å) after each atom.
Fractional positions:
Sb1 0.0000 0.0000 0.0000  6 P 2.51
P1 0.0000 0.0000 0.5000  2 Sb 2.51
P2 0.0000 0.5000 0.0000  2 Sb 2.51
P3 0.5000 0.0000 0.0000  2 Sb 2.51
S1 0.5000 0.5000 0.5000  12 P 3.55

Values from the calculation:
ΔE_f (raw) (eV per atom): 1.568
Total DFT energy (no corrections) (eV/atom): -3.328
Size of the total moment (μB/f.u.): 0.000
Space group: Pm-3m, No. 221


Entry 8:
Entry from Alexandria via LeMat-Bulk: a relaxed structure of SbP3S (PBE).

a b c (Å): 4.5663 4.5663 4.5663
angles (deg): 90.00 90.00 90.00
With the nearest neighbours (Å) after each atom.
Fractional positions:
Sb1 0.0000 0.0000 0.0000  12 P 3.23
P1 0.0000 0.5000 0.5000  2 S 2.28
P2 0.5000 0.0000 0.5000  2 S 2.28
P3 0.5000 0.5000 0.0000  2 S 2.28
S1 0.5000 0.5000 0.5000  6 P 2.28

Values from the calculation:
ΔE_f (raw) (eV per atom): 0.802
Total DFT energy (no corrections) (eV/atom): -4.094
Size of the total moment (μB/f.u.): 0.000
Space group: Pm-3m, No. 221